DFT (GGA-PBE) results for KAlSn after structural relaxation.

Unit cell a=8.599 b=4.931 c=8.007 alpha=90.00 beta=90.00 gamma=90.00
Sites, in units of the cell vectors:
Sn1 0.174 0.750 0.901
Sn2 0.674 0.750 0.599
Sn3 0.326 0.250 0.401
Sn4 0.826 0.250 0.099
K1 0.505 0.750 0.167
K2 0.005 0.750 0.333
K3 0.495 0.250 0.833
K4 0.995 0.250 0.667
Al1 0.659 0.250 0.411
Al2 0.159 0.250 0.089
Al3 0.841 0.750 0.911
Al4 0.341 0.750 0.589

Summary:
Energy of formation from the pure elements = -0.1355 eV/atom